# Na2CeFeF8 (GGA+U, optimized geometry)
data_Na2CeFeF8
_chemical_formula_sum 'Na2 Ce1 Fe1 F8'
_cell_length_a 5.504
_cell_length_b 5.848
_cell_length_c 6.402
_cell_angle_alpha 74.36
_cell_angle_beta 78.38
_cell_angle_gamma 76.13
_space_group_name_H-M_alt 'P -1'
_space_group_IT_number 2
loop_
_space_group_symop_operation_xyz
'x,y,z'
'-x,-y,-z'
loop_
_atom_site_label
_atom_site_type_symbol
_atom_site_fract_x
_atom_site_fract_y
_atom_site_fract_z
Na1 Na 0.092 0.108 0.180
Ce1 Ce 0.500 0.500 0.500
Fe1 Fe 0.500 0.500 0.000
F1 F 0.215 0.820 0.486
F2 F 0.251 0.801 0.992
F3 F 0.288 0.368 0.833
F4 F 0.303 0.349 0.308
# E	-5.495	eV per atom
# theoretical density	3.4	Mg/m³